First-principles (PBE) data for an optimized crystal structure of CrCd2Co, as listed in Alexandria.

Unit cell a=4.080 b=4.079 c=4.002 alpha=90.00 beta=90.00 gamma=90.00
Positions (direct):
Cd1 0.000 0.000 0.000
Cd2 0.500 0.500 0.000
Co1 0.500 0.000 0.500
Cr1 0.000 0.500 0.500

Output
volume: 66.6 Å³ per cell
SG: No. 123
ΔE_f: 0.40 eV per atom
DFT total energy: -4.240 eV/atom
total moment: 4.876 μB per cell

First-principles (PBE) data for an optimized crystal structure of KSb, as listed in Alexandria.

Unit cell a=5.752 b=5.752 c=5.752 alpha=60.00 beta=60.00 gamma=60.00
Positions (direct):
K1 0.000 0.000 0.000
Sb1 0.750 0.750 0.750

Output
formation energy from raw total energies: 95 kJ/mol of formula units
volume: 134.6 Å³ per cell
SG: No. 216
DFT total energy: -2.117 eV/atom
total moment: 2.000 μB per cell

First-principles (PBE) data for an optimized crystal structure of Sm2Dy3Te6, as listed in Alexandria.

Unit cell a=7.586 b=7.553 c=7.565 alpha=80.30 beta=70.41 gamma=59.85
Positions (direct):
Sm1 0.164 0.672 0.500
Sm2 0.836 0.328 0.500
Dy1 0.000 0.000 0.000
Dy2 0.330 0.341 0.000
Dy3 0.670 0.659 0.000
Te1 0.418 0.678 0.749
Te2 0.737 0.000 0.752
Te3 0.096 0.322 0.749
Te4 0.263 0.000 0.248
Te5 0.582 0.322 0.251
Te6 0.904 0.678 0.251

Output
formation energy from raw total energies: -1505 kJ/mol of formula units
volume: 353.2 Å³ per cell
SG: No. 12
DFT total energy: -5.245 eV/atom
total moment: 0.000 μB per cell

First-principles (PBE) data for an optimized crystal structure of ErPa2Ru3, as listed in Alexandria.

Unit cell a=5.453 b=7.197 c=8.962 alpha=119.60 beta=78.50 gamma=124.49
Positions (direct):
Er1 0.078 0.972 0.292
Er2 0.922 0.028 0.708
Pa1 0.298 0.657 0.381
Pa2 0.544 0.749 0.972
Pa3 0.456 0.251 0.028
Pa4 0.702 0.343 0.619
Ru1 0.303 0.889 0.724
Ru2 0.697 0.111 0.276
Ru3 0.967 0.627 0.918
Ru4 0.329 0.472 0.642
Ru5 0.671 0.528 0.358
Ru6 0.033 0.373 0.082

Output
volume: 250.4 Å³ per cell
SG: No. 2
ΔE_f: -0.51 eV per atom
DFT total energy: -9.070 eV/atom
total moment: 0.000 μB per cell

First-principles (PBE) data for an optimized crystal structure of Ni2AgSb2, as listed in Alexandria.

Unit cell a=7.142 b=7.142 c=3.452 alpha=90.00 beta=90.00 gamma=90.00
Positions (direct):
Sb1 0.168 0.668 0.500
Sb2 0.668 0.832 0.500
Sb3 0.832 0.332 0.500
Sb4 0.332 0.168 0.500
Ag1 0.000 0.000 0.000
Ag2 0.500 0.500 0.000
Ni1 0.372 0.872 0.000
Ni2 0.872 0.628 0.000
Ni3 0.628 0.128 0.000
Ni4 0.128 0.372 0.000

Output
formation energy from raw total energies: 7 kJ/mol of formula units
volume: 176.1 Å³ per cell
SG: No. 127
DFT total energy: -4.517 eV/atom
total moment: 0.000 μB per cell

First-principles (PBE) data for an optimized crystal structure of MnSnP2S, as listed in Alexandria.

Unit cell a=4.257 b=4.257 c=5.324 alpha=90.00 beta=90.00 gamma=90.00
Positions (direct):
P1 0.000 0.500 0.000
P2 0.500 0.000 0.000
S1 0.000 0.000 0.500
Mn1 0.000 0.000 0.000
Sn1 0.500 0.500 0.500

Output
formation energy from raw total energies: 111 kJ/mol of formula units
volume: 96.5 Å³ per cell
SG: No. 123
DFT total energy: -5.394 eV/atom
total moment: 0.315 μB per cell

First-principles (PBE) data for an optimized crystal structure of Ac4La4Tm, as listed in Alexandria.

Unit cell a=5.414 b=8.556 c=8.556 alpha=84.26 beta=71.56 gamma=71.56
Positions (direct):
Ac1 0.335 0.330 0.000
Ac2 0.665 0.670 0.000
Ac3 0.665 0.000 0.670
Ac4 0.335 0.000 0.330
La1 0.000 0.663 0.337
La2 0.000 0.337 0.663
La3 0.663 0.337 0.337
La4 0.337 0.663 0.663
Tm1 0.000 0.000 0.000

Output
volume: 356.7 Å³ per cell
SG: No. 139
ΔE_f: 0.03 eV per atom
DFT total energy: -4.480 eV/atom
total moment: 0.000 μB per cell

First-principles (PBE) data for an optimized crystal structure of VCo2Os, as listed in Alexandria.

Unit cell a=4.136 b=4.136 c=4.136 alpha=60.00 beta=60.00 gamma=60.00
Positions (direct):
Os1 0.500 0.500 0.500
Co1 0.250 0.250 0.250
Co2 0.750 0.750 0.750
V1 0.000 0.000 0.000

Output
volume: 50.0 Å³ per cell
SG: No. 225
ΔE_f: 0.15 eV per atom
DFT total energy: -8.492 eV/atom
total moment: 4.151 μB per cell

First-principles (PBE) data for an optimized crystal structure of ZrTi2SnO, as listed in Alexandria.

Unit cell a=4.156 b=4.676 c=4.156 alpha=90.00 beta=90.00 gamma=90.00
Positions (direct):
O1 0.000 0.000 0.000
Sn1 0.500 0.500 0.500
Zr1 0.000 0.500 0.000
Ti1 0.000 0.000 0.500
Ti2 0.500 0.000 0.000

Output
formation energy from raw total energies: -572 kJ/mol of formula units
volume: 80.7 Å³ per cell
SG: No. 123
DFT total energy: -7.845 eV/atom
total moment: 0.000 μB per cell

First-principles (PBE) data for an optimized crystal structure of Ce2GaGePd6, as listed in Alexandria.

Unit cell a=7.919 b=5.789 c=7.937 alpha=68.38 beta=42.89 gamma=89.76
Positions (direct):
Ce1 0.281 0.718 0.570
Ce2 0.719 0.282 0.430
Ga1 0.500 0.500 0.000
Ge1 0.000 0.000 0.000
Pd1 0.254 0.745 0.991
Pd2 0.743 0.753 0.003
Pd3 0.248 0.257 0.499
Pd4 0.746 0.255 0.009
Pd5 0.257 0.247 0.997
Pd6 0.752 0.743 0.501

Output
volume: 208.9 Å³ per cell
SG: No. 12
ΔE_f: -0.56 eV per atom
DFT total energy: -5.626 eV/atom
total moment: 1.420 μB per cell

First-principles (PBE) data for an optimized crystal structure of SrZrI2, as listed in Alexandria.

Unit cell a=5.722 b=5.722 c=10.438 alpha=74.09 beta=74.09 gamma=90.00
Positions (direct):
I1 0.661 0.125 0.250
I2 0.089 0.625 0.250
I3 0.375 0.339 0.750
I4 0.875 0.911 0.750
Sr1 0.500 0.500 0.000
Sr2 0.250 0.750 0.500
Zr1 0.000 0.000 0.000
Zr2 0.750 0.250 0.500

Output
formation energy from raw total energies: -97 kJ/mol of formula units
volume: 315.1 Å³ per cell
SG: No. 122
DFT total energy: -3.585 eV/atom
total moment: 7.087 μB per cell

First-principles (PBE) data for an optimized crystal structure of MnTcSnOs, as listed in Alexandria.

Unit cell a=4.424 b=4.424 c=4.424 alpha=60.00 beta=60.00 gamma=60.00
Positions (direct):
Mn1 0.500 0.500 0.500
Os1 0.250 0.250 0.250
Sn1 0.000 0.000 0.000
Tc1 0.750 0.750 0.750

Output
volume: 61.2 Å³ per cell
SG: No. 216
ΔE_f: 0.13 eV per atom
DFT total energy: -8.566 eV/atom
total moment: 2.176 μB per cell

Record-wise Fermi-level density of states values, in states/eV/f.u.: 2.59 1.33 5.12 4.50 2.10 3.32 15.99 6.50 4.46 14.78 3.60 2.06